# HfTeHCl

A relaxed HfTeHCl crystal (PBE, the Alexandria database).

a b c (Å): 7.8968 7.8968 7.8968
angles (deg): 26.47 26.47 26.47
Element x y z (fractional)
Hf: 0.0000 0.0000 0.0000
Te: 0.4200 0.4200 0.4200
H: 0.6671 0.6671 0.6671
Cl: 0.2582 0.2582 0.2582

Output
Total magnetic moment   0.0 μB/f.u.
Volume   21.6 Å³ per atom
Final energy   -22.40 eV per cell
Density   6.6 g/cm³


# Y2Zn3Ru

A relaxed Y2Zn3Ru crystal (PBE, the Alexandria database).

a b c (Å): 6.0848 6.0848 6.0848
angles (deg): 134.06 128.11 71.79
Element x y z (fractional)
Y: 0.2104 0.2104 0.0000
Y: 0.7896 0.7896 0.0000
Zn: 0.0000 0.5000 0.5000
Zn: 0.3823 0.8823 0.5000
Zn: 0.6177 0.1177 0.5000
Ru: 0.5000 0.5000 0.0000

Output
Total magnetic moment   0.0 μB/f.u.
ΔH_f (0 K)   -133 meV per atom
Excess energy over the best structure of this formula in the dataset   247 meV per atom
Volume   20.8 Å³ per atom
Density   6.3 g/cm³


# AcPrSmHg

A relaxed AcPrSmHg crystal (PBE, the Alexandria database).

a b c (Å): 5.6862 5.6862 5.6862
angles (deg): 60.00 60.00 60.00
Element x y z (fractional)
Ac: 0.0000 0.0000 0.0000
Pr: 0.2500 0.2500 0.2500
Sm: 0.7500 0.7500 0.7500
Hg: 0.5000 0.5000 0.5000

Output
Total magnetic moment   0.0 μB/f.u.
ΔH_f (0 K)   -5 meV per atom
Excess energy over the best structure of this formula in the dataset   220 meV per atom
Volume   32.5 Å³ per atom
Density   9.2 g/cm³